A relaxed MgMoSN2 crystal. Source: the Alexandria database, functional PBE.

The crystal system is tetragonal. Its polymorph energy (0 for the lowest one) is 1435 meV/atom. Its uncorrected formation energy is 1.3786 eV per atom.

It has space group P4/mmm (No. 123), with a = 3.9055 Å, b = 3.9055 Å, c = 4.8116 Å, α = 90.00°, β = 90.00° and γ = 90.00°. The distinct sites, in fractional coordinates, are Mg at (0.0000, 0.0000, 0.0000), Mo at (0.5000, 0.5000, 0.5000), S at (0.0000, 0.0000, 0.5000) and N at (0.0000, 0.5000, 0.0000).